Record 1
Computed, not measured: a relaxed Np2PaPdSe5 crystal at the PBE-GGA level of DFT.

Results
- Energy relative to the elements, uncorrected: -1.09 eV per atom
- DFT total energy: -7.531 eV per atom
- Density: 9514 kg/m3
- Magnetization: 8.86 μB per formula unit

a = 3.9743 Å, b = 17.0867 Å, c = 12.4016 Å
α = 90.00°, β = 90.00°, γ = 90.00°
Closest atoms and distances in Å follow each position.
Space group Cmc2_1 (No. 36)
Symmetry-distinct sites (fractional):
Np 0.0000 0.1026 0.0000 (multiplicity 4)  7 Se 2.94-3.24
Np 0.0000 0.1202 0.3479 (multiplicity 4)  8 Se 2.94-3.21
Pa 0.0000 0.1795 0.6689 (multiplicity 4)  6 Se 2.84-2.92, 2 Pd 3.05
Pd 0.0000 0.4359 0.0708 (multiplicity 4)  4 Se 2.49-2.55
Se 0.0000 0.0132 0.6783 (multiplicity 4)  2 Pd 2.55, 1 Pa 2.84
Se 0.0000 0.2976 0.9995 (multiplicity 4)  1 Pd 2.52
Se 0.0000 0.3077 0.3353 (multiplicity 4)  2 Pa 2.87, 1 Np 3.21
Se 0.0000 0.3460 0.6698 (multiplicity 4)  1 Pa 2.84, 4 Np 3.03
Se 0.0000 0.4973 0.3926 (multiplicity 4)  1 Pd 2.49

***

Record 2
Computed, not measured: a relaxed Cs3CBr crystal at the PBE-GGA level of DFT.

Results
- Excess energy over the best structure of this formula in the dataset: 0.000 eV/atom
- Energy relative to the elements, uncorrected: 0.23 eV per atom
- DFT total energy: -2.466 eV per atom
- Density: 3326 kg/m3
- Magnetization: 2.05 μB per formula unit

a = 6.2567 Å, b = 6.2567 Å, c = 6.2567 Å
α = 90.00°, β = 90.00°, γ = 90.00°
Closest atoms and distances in Å follow each position.
Space group Pm-3m (No. 221)
Symmetry-distinct sites (fractional):
Cs 0.0000 0.0000 0.5000 (multiplicity 3)  2 C 3.13
C 0.0000 0.0000 0.0000 (multiplicity 1)  6 Cs 3.13
Br 0.5000 0.5000 0.5000 (multiplicity 1)  12 Cs 4.42

***

Record 3
Computed, not measured: a relaxed SrCuIr2 crystal at the PBE-GGA level of DFT.

Results
- Excess energy over the best structure of this formula in the dataset: 0.496 eV/atom
- DFT formation energy: 15.8 kcal/mol of atoms
- DFT total energy: -5.188 eV per atom
- Density: 12532 kg/m3
- Magnetization: 0.00 μB per formula unit

a = 6.5721 Å, b = 6.5721 Å, c = 6.5721 Å
α = 90.00°, β = 90.00°, γ = 90.00°
Closest atoms and distances in Å follow each position.
Space group Fm-3m (No. 225)
Symmetry-distinct sites (fractional):
Sr 0.0000 0.0000 0.0000 (multiplicity 4)  8 Ir 2.85
Cu 0.0000 0.0000 0.5000 (multiplicity 4)  8 Ir 2.85
Ir 0.2500 0.2500 0.2500 (multiplicity 8)  4 Cu 2.85, 4 Sr 2.85

***

Record 4
Computed, not measured: a relaxed Nd8DyY6 crystal at the PBE-GGA level of DFT.

Results
- Excess energy over the best structure of this formula in the dataset: 0.052 eV/atom
- DFT formation energy: 3.8 kcal/mol of atoms
- DFT total energy: -5.271 eV per atom
- Density: 5963 kg/m3
- Magnetization: 0.00 μB per formula unit

a = 9.4752 Å, b = 9.4752 Å, c = 6.6250 Å
α = 90.00°, β = 90.00°, γ = 120.00°
Closest atoms and distances in Å follow each position.
Space group P-3 (No. 147)
Symmetry-distinct sites (fractional):
Nd 0.0377 0.7517 0.1658 (multiplicity 6)  3 Nd 3.29-3.37, 4 Y 3.33-3.62, 1 Dy 3.38
Nd 0.3333 0.6667 0.1209 (multiplicity 2)  3 Nd 3.29
Dy 0.0000 0.0000 0.5000 (multiplicity 1)  6 Nd 3.38
Y 0.0937 0.6574 0.6570 (multiplicity 6)  1 Y 3.33, 4 Nd 3.33-3.62

***

Record 5
Computed, not measured: a relaxed SnS crystal at the PBE-GGA level of DFT.

Results
- Energy relative to the elements, uncorrected: -0.38 eV per atom
- DFT total energy: -4.448 eV per atom
- Density: 3870 kg/m3
- Magnetization: 0.00 μB per formula unit

a = 3.8013 Å, b = 11.7734 Å, c = 5.7821 Å
α = 90.00°, β = 90.00°, γ = 90.00°
Closest atoms and distances in Å follow each position.
Space group Cmcm (No. 63)
Symmetry-distinct sites (fractional):
Sn 0.0000 0.1552 0.2500 (multiplicity 4)  2 S 2.61
S 0.0000 0.1929 0.7500 (multiplicity 4)  2 Sn 2.61

***

Record 6
Computed, not measured: a relaxed Pm4CuPCl2 crystal at the PBE-GGA level of DFT.

Results
- Energy relative to the elements, uncorrected: -1.18 eV per atom
- DFT total energy: -5.202 eV per atom
- Density: 6177 kg/m3
- Magnetization: 0.00 μB per formula unit

a = 7.2096 Å, b = 4.0511 Å, c = 7.2315 Å
α = 90.00°, β = 108.41°, γ = 90.00°
Closest atoms and distances in Å follow each position.
Space group P2/m (No. 10)
Symmetry-distinct sites (fractional):
Pm 0.2252 0.0000 0.2379 (multiplicity 2)  2 Cu 2.82, 1 P 2.86, 3 Cl 3.01-3.04
Pm 0.2262 0.5000 0.7360 (multiplicity 2)  2 P 2.81, 1 Cu 2.88, 3 Cl 2.99-3.04
Cu 0.0000 0.5000 0.0000 (multiplicity 1)  6 Pm 2.82-2.88
P 0.0000 0.0000 0.5000 (multiplicity 1)  6 Pm 2.81-2.86
Cl 0.5000 0.0000 0.0000 (multiplicity 1)  6 Pm 3.01-3.04
Cl 0.5000 0.5000 0.5000 (multiplicity 1)  6 Pm 2.99-3.04

***

Record 7
Computed, not measured: a relaxed La2TbPm2 crystal at the PBE-GGA level of DFT.

Results
- Excess energy over the best structure of this formula in the dataset: 0.000 eV/atom
- DFT formation energy: 0.5 kcal/mol of atoms
- DFT total energy: -4.776 eV per atom
- Density: 6910 kg/m3
- Magnetization: 0.00 μB per formula unit

a = 3.6702 Å, b = 5.1749 Å, c = 18.3908 Å
α = 90.00°, β = 90.00°, γ = 90.00°
Closest atoms and distances in Å follow each position.
Space group Immm (No. 71)
Symmetry-distinct sites (fractional):
La 0.0000 0.0000 0.0990 (multiplicity 4)  3 La 3.64-3.67, 4 Tb 3.66, 5 Pm 3.68
Tb 0.0000 0.0000 0.5000 (multiplicity 2)  8 La 3.66, 2 Tb 3.67, 2 Pm 3.69
Pm 0.0000 0.0000 0.2993 (multiplicity 4)  6 Pm 3.65-3.67, 5 La 3.68, 1 Tb 3.69

***

Record 8
Computed, not measured: a relaxed In3Pb crystal at the PBE-GGA level of DFT.

Results
- DFT formation energy: -0.1 kcal/mol of atoms
- DFT total energy: -2.983 eV per atom
- Density: 8059 kg/m3
- Magnetization: 0.00 μB per formula unit

a = 3.3806 Å, b = 3.3806 Å, c = 34.4559 Å
α = 90.00°, β = 90.00°, γ = 120.00°
Closest atoms and distances in Å follow each position.
Space group R-3m (No. 166, hexagonal axes)
Symmetry-distinct sites (fractional):
In 0.0000 0.0000 0.0000 (multiplicity 3)  12 In 3.32-3.38
In 0.0000 0.0000 0.2555 (multiplicity 6)  9 In 3.32-3.38, 3 Pb 3.63
Pb 0.0000 0.0000 0.5000 (multiplicity 3)  6 Pb 3.38, 6 In 3.63

***

Record 9
Computed, not measured: a relaxed Tl2Ag2Pb crystal at the PBE-GGA level of DFT.

Results
- Excess energy over the best structure of this formula in the dataset: 0.086 eV/atom
- DFT formation energy: 4.5 kcal/mol of atoms
- DFT total energy: -2.632 eV per atom
- Density: 10369 kg/m3
- Magnetization: 0.00 μB per formula unit

a = 4.4242 Å, b = 4.4242 Å, c = 13.6098 Å
α = 90.00°, β = 90.00°, γ = 90.00°
Closest atoms and distances in Å follow each position.
Space group I4/mmm (No. 139)
Symmetry-distinct sites (fractional):
Tl 0.0000 0.5000 0.2500 (multiplicity 4)  4 Ag 3.02, 4 Tl 3.13
Ag 0.0000 0.0000 0.0989 (multiplicity 4)  1 Ag 2.69
Pb 0.0000 0.0000 0.5000 (multiplicity 2)  8 Ag 3.41

***

Record 10
Computed, not measured: a relaxed Cd2SbBr crystal at the PBE-GGA level of DFT.

Results
- Excess energy over the best structure of this formula in the dataset: 0.171 eV/atom
- Energy relative to the elements, uncorrected: -0.15 eV per atom
- DFT total energy: -2.061 eV per atom
- Density: 6252 kg/m3
- Magnetization: 0.00 μB per formula unit

a = 8.4830 Å, b = 8.1799 Å, c = 3.5468 Å
α = 90.00°, β = 113.00°, γ = 90.00°
Closest atoms and distances in Å follow each position.
Space group C2/m (No. 12)
Symmetry-distinct sites (fractional):
Cd 0.2500 0.2500 0.0000 (multiplicity 4)  2 Sb 2.95, 2 Br 2.95
Sb 0.0000 0.0000 0.0000 (multiplicity 2)  4 Cd 2.95
Br 0.0000 0.5000 0.0000 (multiplicity 2)  4 Cd 2.95